The following is a DFT calculation (PBE) of a relaxed Pm3Ga3Ni8 crystal.

## Properties
The space group is No. 71. The spin magnetization is 0.00 μB per cell.

a b c (Å): 4.0795 7.9409 7.9409
angles (deg): 70.44 75.12 75.12
Positions (direct):
Pm 0.5000 0.5000 0.5000
Pm 0.7947 0.2053 0.2053
Pm 0.2053 0.7947 0.7947
Ga 0.5000 0.0000 0.0000
Ga 0.0000 0.7646 0.2354
Ga 0.0000 0.2354 0.7646
Ni 0.6089 0.1092 0.6730
Ni 0.3911 0.8908 0.3270
Ni 0.6089 0.6730 0.1092
Ni 0.3911 0.3270 0.8908
Ni 0.8055 0.8837 0.5054
Ni 0.1945 0.1163 0.4946
Ni 0.8055 0.5054 0.8837
Ni 0.1945 0.4946 0.1163

The following is a DFT calculation (PBE) of a relaxed Pm2Ga12Ni crystal.

## Properties
The space group is No. 125. The spin magnetization is 0.00 μB per cell.

a b c (Å): 6.0811 6.0811 15.3918
angles (deg): 90.00 90.00 90.00
Positions (direct):
Pm 0.5000 0.0000 0.2420
Pm 0.0000 0.5000 0.2420
Pm 0.0000 0.5000 0.7580
Pm 0.5000 0.0000 0.7580
Ga 0.5000 0.5000 0.8161
Ga 0.0000 0.0000 0.8161
Ga 0.7503 0.7497 0.9160
Ga 0.2503 0.7503 0.9160
Ga 0.0000 0.0000 0.3435
Ga 0.2497 0.7497 0.0840
Ga 0.8317 0.3317 0.5696
Ga 0.5000 0.5000 0.3435
Ga 0.2497 0.2503 0.9160
Ga 0.7497 0.7503 0.0840
Ga 0.3317 0.1683 0.5696
Ga 0.6683 0.1683 0.4304
Ga 0.0000 0.0000 0.6565
Ga 0.1683 0.3317 0.4304
Ga 0.2503 0.2497 0.0840
Ga 0.8317 0.6683 0.4304
Ga 0.6683 0.8317 0.5696
Ga 0.0000 0.0000 0.1839
Ga 0.1683 0.6683 0.5696
Ga 0.5000 0.5000 0.6565
Ga 0.7497 0.2497 0.9160
Ga 0.5000 0.5000 0.1839
Ga 0.3317 0.8317 0.4304
Ga 0.7503 0.2503 0.0840
Ni 0.5000 0.0000 0.0000
Ni 0.0000 0.5000 0.0000

The following is a DFT calculation (PBE) of a relaxed Pm3Ga8Ni3 crystal.

## Properties
The space group is No. 71. The energy above the most stable polymorph in this dataset comes out at 0.0000 eV per atom. The spin magnetization is 0.00 μB per cell.

a b c (Å): 4.2448 8.0978 8.0978
angles (deg): 74.07 74.81 74.81
Positions (direct):
Pm 0.5000 0.5000 0.5000
Pm 0.8192 0.1808 0.1808
Pm 0.1808 0.8192 0.8192
Ga 0.6192 0.0935 0.6681
Ga 0.3808 0.9065 0.3319
Ga 0.6192 0.6681 0.0935
Ga 0.3808 0.3319 0.9065
Ga 0.8378 0.7984 0.5260
Ga 0.1622 0.2016 0.4740
Ga 0.8378 0.5260 0.7984
Ga 0.1622 0.4740 0.2016
Ni 0.5000 0.0000 0.0000
Ni 0.0000 0.7880 0.2120
Ni 0.0000 0.2120 0.7880

The following is a DFT calculation (PBE) of a relaxed Pm3GaNi3 crystal.

## Properties
The space group is No. 176. The energy above the most stable polymorph in this dataset comes out at 0.2762 eV per atom. The spin magnetization is 0.00 μB per cell.

a b c (Å): 5.5416 8.3853 8.3853
angles (deg): 120.00 90.00 90.00
Positions (direct):
Pm 0.7500 0.6976 0.6452
Pm 0.7500 0.3548 0.0524
Pm 0.7500 0.9476 0.3024
Pm 0.2500 0.3024 0.3548
Pm 0.2500 0.6452 0.9476
Pm 0.2500 0.0524 0.6976
Ga 0.2500 0.6667 0.3333
Ga 0.7500 0.3333 0.6667
Ni 0.2500 0.6807 0.6243
Ni 0.2500 0.3757 0.0564
Ni 0.2500 0.9436 0.3193
Ni 0.7500 0.3193 0.3757
Ni 0.7500 0.6243 0.9436
Ni 0.7500 0.0564 0.6807

no.,ΔH_f (0 K) (eV per atom)
1,-0.39
2,-0.40
3,-0.57
4,-0.18